# 1
! AlZnCl2 (GGA-PBE, relaxed); values from VASP
&SYSTEM
  ibrav = 0, nat = 4, ntyp = 3
/
ATOMIC_SPECIES
Cl 35.45 Cl.upf
Zn 65.41 Zn.upf
Al 26.98 Al.upf
CELL_PARAMETERS angstrom
3.625 0.000 0.000
0.000 6.185 -0.245
0.000 2.244 4.544
ATOMIC_POSITIONS crystal
Cl 0.500 0.359 0.251
Cl 0.000 0.879 0.957
Zn 0.000 0.613 0.480
Al 0.500 0.650 0.812
! - Polymorph energy (0 for the lowest one): 8.3 kJ/mol of formula units
! - SG: Pm
! - Raw total energy: -11.4 eV/cell
! - Uncorrected formation energy: -0.669 eV/atom

---

# 2
! Ta3Rh (GGA-PBE, relaxed); values from VASP
&SYSTEM
  ibrav = 0, nat = 4, ntyp = 2
/
ATOMIC_SPECIES
Rh 102.91 Rh.upf
Ta 180.95 Ta.upf
CELL_PARAMETERS angstrom
-2.637 -1.011 0.539
1.709 -1.992 1.175
-0.122 4.272 7.418
ATOMIC_POSITIONS crystal
Rh 0.000 0.000 0.000
Ta 0.500 0.500 0.234
Ta 0.000 0.000 0.500
Ta 0.500 0.500 0.766
! - SG: Cmmm
! - Raw total energy: -43.7 eV/cell
! - Formation enthalpy at 0 K: -0.80 eV per formula unit

---

# 3
! Ce2DyTm3P6 (GGA-PBE, relaxed); values from VASP
&SYSTEM
  ibrav = 0, nat = 12, ntyp = 4
/
ATOMIC_SPECIES
Ce 140.12 Ce.upf
Tm 168.93 Tm.upf
P 30.97 P.upf
Dy 162.50 Dy.upf
CELL_PARAMETERS angstrom
6.935 -0.001 0.001
-3.467 6.006 0.001
-1.157 -2.003 6.521
ATOMIC_POSITIONS crystal
Ce 0.667 0.333 0.000
Ce 0.333 0.667 0.000
Tm 0.833 0.167 0.500
Tm 0.167 0.833 0.500
Tm 0.500 0.500 0.500
P 0.247 0.247 0.744
P 0.085 0.418 0.255
P 0.753 0.753 0.256
P 0.582 0.915 0.745
P 0.915 0.582 0.745
P 0.418 0.085 0.255
Dy 0.000 0.000 0.000
! - SG: C2/m
! - Raw total energy: -81.2 eV/cell
! - Formation enthalpy at 0 K: -18.87 eV per formula unit

---

# 4
! BaMgCdF2 (GGA-PBE, relaxed); values from VASP
&SYSTEM
  ibrav = 0, nat = 5, ntyp = 4
/
ATOMIC_SPECIES
F 19.00 F.upf
Ba 137.33 Ba.upf
Mg 24.30 Mg.upf
Cd 112.41 Cd.upf
CELL_PARAMETERS angstrom
4.934 0.000 0.000
0.000 8.282 0.000
0.000 0.000 4.934
ATOMIC_POSITIONS crystal
F 0.000 0.000 0.500
F 0.500 0.000 0.000
Ba 0.000 0.000 0.000
Mg 0.000 0.500 0.000
Cd 0.500 0.500 0.500
! - SG: P4/mmm
! - Raw total energy: -16.8 eV/cell
! - Uncorrected formation energy: -1.729 eV/atom

---

| no. | density of states at the Fermi level (states/eV/cell) | M_tot (μB per cell) |
| --- | --- | --- |
| 1 | 0.500 | 0.0 |
| 2 | 4.478 | 0.0 |
| 3 | 9.325 | 0.8 |
| 4 | 1.196 | 0.0 |